1.
The following is a DFT calculation (PBE) of a geometry-optimized Ca4Ga2Sn5 structure.

Output
calculated total energy	-3.585	eV/atom
formation enthalpy at 0 K	-488	meV/atom
polymorph energy (0 for the lowest one)	0.000	eV per atom
total moment	0.0	μB/f.u.

Cell and atoms, written as POSCAR:
```
Ca4Ga2Sn5
1.0
-0.8019 1.0312 4.4256
0.1042 -7.3528 1.7321
8.7286 0.4082 1.4865
Ca Sn Ga
4 5 2
direct
0.5000 0.7476 0.3885
0.5000 0.7828 0.8650
0.5000 0.2172 0.1350
0.5000 0.2524 0.6115
0.0000 0.8769 0.1284
0.0000 0.5000 0.0000
0.0000 0.1231 0.8716
0.0000 0.5695 0.6578
0.0000 0.4305 0.3422
0.0000 0.0774 0.3788
0.0000 0.9226 0.6212
```


2.
The following is a DFT calculation (PBE) of a geometry-optimized ErFeNi structure.

Output
calculated total energy	-6.534	eV/atom
formation enthalpy at 0 K	-265	meV/atom
total moment	2.1	μB/f.u.

Cell and atoms, written as POSCAR:
```
ErFeNi
1.0
5.1083 -0.0193 -0.0197
0.1209 5.1069 0.0197
-2.4892 -2.6728 3.5716
Er Fe Ni
2 2 2
direct
0.1284 0.8784 0.2500
0.8716 0.1216 0.7500
0.5000 0.0000 0.0000
0.5000 0.5000 0.5000
0.5000 0.5000 0.0000
0.0000 0.5000 0.5000
```


3.
The following is a DFT calculation (PBE) of a geometry-optimized Na2Cd3Bi structure.

Output
calculated total energy	-1.692	eV/atom
formation enthalpy at 0 K	-148	meV/atom
polymorph energy (0 for the lowest one)	0.004	eV per atom
total moment	0.0	μB/f.u.

Cell and atoms, written as POSCAR:
```
Na2Cd3Bi
1.0
6.0852 1.4758 0.0000
1.0980 6.1646 0.0000
-3.5916 -3.8202 8.8879
Na Cd Bi
4 6 2
direct
0.7497 0.2503 0.0000
0.7500 0.2500 0.5000
0.2503 0.7497 0.0000
0.2500 0.7500 0.5000
0.8362 0.8362 0.6724
0.8415 0.8415 0.1640
0.1585 0.1585 0.8360
0.6776 0.6776 0.8360
0.3224 0.3224 0.1640
0.1638 0.1638 0.3276
0.6631 0.6631 0.3263
0.3369 0.3369 0.6737
```


4.
The following is a DFT calculation (PBE) of a geometry-optimized Ti2VIrCl structure.

Output
calculated total energy	-6.675	eV/atom
total moment	3.8	μB/f.u.

Cell and atoms, written as POSCAR:
```
Ti2VIrCl
1.0
4.8621 0.0000 0.0000
0.0000 4.8105 0.0000
0.0000 0.0000 4.8621
Cl Ti V Ir
1 2 1 1
direct
0.5000 0.5000 0.5000
0.0000 0.0000 0.5000
0.5000 0.0000 0.0000
0.0000 0.5000 0.0000
0.0000 0.0000 0.0000
```


5.
The following is a DFT calculation (PBE) of a geometry-optimized KCeAgBr6 structure.

Output
calculated total energy	-3.566	eV/atom
total moment	0.0	μB/f.u.

Cell and atoms, written as POSCAR:
```
KCeAgBr6
1.0
-3.4892 6.3904 0.3738
-1.4760 -4.6475 -5.4198
-10.5943 -6.2677 8.2599
Ce Ag Br K
2 2 12 2
direct
0.3333 0.6667 0.7500
0.6667 0.3333 0.2500
0.6667 0.3333 0.7500
0.3333 0.6667 0.2500
0.6334 0.9909 0.8614
0.3575 0.3667 0.8614
0.0091 0.6425 0.8614
0.6425 0.6333 0.1386
0.6425 0.0091 0.3614
0.9909 0.6333 0.3614
0.3666 0.0091 0.1386
0.3666 0.3575 0.3614
0.0091 0.3667 0.6386
0.3575 0.9909 0.6386
0.9909 0.3575 0.1386
0.6334 0.6425 0.6386
0.0000 0.0000 0.5000
0.0000 0.0000 0.0000
```


6.
The following is a DFT calculation (PBE) of a geometry-optimized AlZnIn2 structure.

Output
calculated total energy	-2.516	eV/atom
formation enthalpy at 0 K	108	meV/atom
total moment	0.0	μB/f.u.

Cell and atoms, written as POSCAR:
```
AlZnIn2
1.0
-1.6970 -3.5015 1.4448
-1.2297 -1.0297 -3.9399
3.7742 -2.9449 -2.7038
Zn In Al
1 2 1
direct
0.0000 0.6998 0.4667
0.0000 0.9853 0.9150
0.5000 0.2646 0.3405
0.5000 0.5503 0.7779
```


7.
The following is a DFT calculation (PBE) of a geometry-optimized Ac8OsPt3Cl4 structure.

Output
calculated total energy	-5.664	eV/atom
total moment	0.0	μB/f.u.

Cell and atoms, written as POSCAR:
```
Ac8OsPt3Cl4
1.0
-0.4507 -8.3155 -2.8500
7.5538 -2.1887 5.1915
-6.8947 3.6298 4.0913
Ac Cl Os Pt
8 4 1 3
direct
0.7435 0.7040 0.9740
0.7696 0.2960 0.0260
0.2304 0.7040 0.4609
0.7696 0.2960 0.5391
0.2651 0.2957 0.5302
0.7349 0.7043 0.4698
0.2304 0.7040 0.9740
0.2565 0.2960 0.0260
0.0000 0.0000 0.5000
0.5000 0.0000 0.5000
0.5000 0.0000 0.0000
0.0000 0.0000 0.0000
0.0000 0.5000 0.0000
0.5000 0.5000 0.5000
0.5000 0.5000 0.0000
0.0000 0.5000 0.5000
```


8.
The following is a DFT calculation (PBE) of a geometry-optimized K4Rb8O structure.

Output
calculated total energy	-1.500	eV/atom
total moment	0.0	μB/f.u.

Cell and atoms, written as POSCAR:
```
K4Rb8O
1.0
6.8398 0.0000 0.0000
0.0000 6.0066 0.0000
0.0000 0.0000 22.6651
Rb K O
8 4 1
direct
0.5000 0.5000 0.0775
0.5000 0.0000 0.2578
0.0000 0.5000 0.9313
0.0000 0.0000 0.3731
0.5000 0.5000 0.7523
0.5000 0.0000 0.5831
0.0000 0.5000 0.2577
0.0000 0.0000 0.7496
0.0000 0.0000 0.1471
0.0000 0.5000 0.5716
0.5000 0.5000 0.4303
0.5000 0.0000 0.9146
0.0000 0.0000 0.2570
```


9.
The following is a DFT calculation (PBE) of a geometry-optimized Nd12CdCo6 structure.

Output
calculated total energy	-5.419	eV/atom
formation enthalpy at 0 K	-115	meV/atom
total moment	0.0	μB/f.u.

Cell and atoms, written as POSCAR:
```
Nd12CdCo6
1.0
-0.3699 5.2872 6.8590
-7.4647 0.4298 -4.3854
1.3062 -8.1359 2.6904
Nd Co Cd
12 6 1
direct
0.3062 0.4999 0.1936
0.8064 0.6938 0.5001
0.8874 0.1936 0.6938
0.6938 0.8874 0.1936
0.1126 0.8064 0.3062
0.5001 0.8064 0.6938
0.1936 0.6938 0.8874
0.3062 0.1126 0.8064
0.4999 0.1936 0.3062
0.1936 0.3062 0.4999
0.8064 0.3062 0.1126
0.6938 0.5001 0.8064
0.1111 0.6111 0.5000
0.5000 0.1111 0.6111
0.5000 0.8889 0.3889
0.6111 0.5000 0.1111
0.8889 0.3889 0.5000
0.3889 0.5000 0.8889
0.0000 0.0000 0.0000
```


10.
The following is a DFT calculation (PBE) of a geometry-optimized Cs4KNp3O12 structure.

Output
calculated total energy	-7.593	eV/atom
total moment	2.0	μB/f.u.

Cell and atoms, written as POSCAR:
```
Cs4KNp3O12
1.0
-1.4810 6.4790 4.0792
-6.6357 -3.9399 -1.1205
5.0370 -4.4599 3.9432
O Cs K Np
12 4 1 3
direct
0.0000 0.7071 0.7071
0.2500 0.5000 0.7500
0.2929 0.0000 0.2929
0.7500 0.2500 0.5000
0.2929 0.2929 0.0000
0.7071 0.7071 0.0000
0.0000 0.2929 0.2929
0.5000 0.2500 0.7500
0.2500 0.7500 0.5000
0.5000 0.7500 0.2500
0.7071 0.0000 0.7071
0.7500 0.5000 0.2500
0.0000 0.5000 0.0000
0.5000 0.5000 0.5000
0.5000 0.0000 0.0000
0.0000 0.0000 0.5000
0.0000 0.0000 0.0000
0.5000 0.5000 0.0000
0.5000 0.0000 0.5000
0.0000 0.5000 0.5000
```


11.
The following is a DFT calculation (PBE) of a geometry-optimized HgSb2Te4Au structure.

Output
calculated total energy	-3.019	eV/atom
total moment	0.0	μB/f.u.

Cell and atoms, written as POSCAR:
```
HgSb2Te4Au
1.0
8.5926 0.0000 0.0000
4.2963 5.2968 -0.9624
4.2963 -0.5251 5.3579
Sb Hg Te Au
2 1 4 1
direct
0.7498 0.7502 0.7502
0.2502 0.2498 0.2498
0.0000 0.0000 0.0000
0.9214 0.4671 0.0786
0.4672 0.5329 0.9214
0.0786 0.9214 0.5329
0.5329 0.0786 0.4671
0.5000 0.5000 0.5000
```


12.
The following is a DFT calculation (PBE) of a geometry-optimized Ti2Mn2H structure.

Output
calculated total energy	-7.163	eV/atom
polymorph energy (0 for the lowest one)	0.000	eV per atom
total moment	0.0	μB/f.u.

Cell and atoms, written as POSCAR:
```
Ti2Mn2H
1.0
-0.3347 5.1079 2.0780
-2.6657 1.6725 -4.5406
-3.3923 -0.8979 1.6608
H Ti Mn
2 4 4
direct
0.5000 0.5000 0.0000
0.0000 0.0000 0.0000
0.3364 0.1636 0.5000
0.8364 0.3364 0.5000
0.6636 0.8364 0.5000
0.1636 0.6636 0.5000
0.6690 0.1690 0.0000
0.1690 0.3310 0.0000
0.8310 0.6690 0.0000
0.3310 0.8310 0.0000
```


13.
The following is a DFT calculation (PBE) of a geometry-optimized SrNiSe2 structure.

Output
calculated total energy	-4.076	eV/atom
polymorph energy (0 for the lowest one)	0.535	eV per atom
total moment	1.8	μB/f.u.

Cell and atoms, written as POSCAR:
```
SrNiSe2
1.0
0.0000 3.5380 3.5380
3.5380 0.0000 3.5380
3.5380 3.5380 0.0000
Se Sr Ni
2 1 1
direct
0.2500 0.2500 0.2500
0.7500 0.7500 0.7500
0.5000 0.5000 0.5000
0.0000 0.0000 0.0000
```


14.
The following is a DFT calculation (PBE) of a geometry-optimized MgBH structure.

Output
calculated total energy	-3.839	eV/atom
polymorph energy (0 for the lowest one)	0.085	eV per atom
total moment	0.0	μB/f.u.

Cell and atoms, written as POSCAR:
```
MgBH
1.0
-2.2041 2.5546 0.8861
0.7602 -0.3783 2.9814
10.3242 7.1247 -1.7283
Mg B H
4 4 4
direct
0.1922 0.5000 0.2456
0.1922 0.0000 0.7456
0.3495 0.5000 0.9672
0.3495 0.0000 0.4672
0.7573 0.5000 0.8212
0.7381 0.0000 0.8767
0.7573 0.0000 0.3212
0.7381 0.5000 0.3767
0.8069 0.5000 0.7211
0.2554 0.0000 0.6068
0.8069 0.0000 0.2211
0.2554 0.5000 0.1068
```


15.
The following is a DFT calculation (PBE) of a geometry-optimized Nd4Sm15Tl structure.

Output
calculated total energy	-4.631	eV/atom
formation enthalpy at 0 K	-19	meV/atom
total moment	0.0	μB/f.u.

Cell and atoms, written as POSCAR:
```
Nd4Sm15Tl
1.0
-0.3268 4.4124 -2.5079
-0.2690 -2.5247 -4.4067
-25.7183 -0.7635 2.0075
Sm Nd Tl
15 4 1
direct
0.5000 0.0000 0.0959
0.5000 0.0000 0.9041
0.5000 0.0000 0.2979
0.5000 0.0000 0.5000
0.0000 0.5000 0.7021
0.5000 0.5000 0.0000
0.5000 0.0000 0.7021
0.0000 0.5000 0.2979
0.0000 0.5000 0.5000
0.5000 0.5000 0.6016
0.0000 0.5000 0.9041
0.5000 0.5000 0.1953
0.5000 0.5000 0.8047
0.5000 0.5000 0.3984
0.0000 0.5000 0.0959
0.0000 0.0000 0.6006
0.0000 0.0000 0.3994
0.0000 0.0000 0.1973
0.0000 0.0000 0.8027
0.0000 0.0000 0.0000
```


16.
The following is a DFT calculation (PBE) of a geometry-optimized Mn2V5Ru2Rh structure.

Output
calculated total energy	-8.905	eV/atom
formation enthalpy at 0 K	78	meV/atom
total moment	0.0	μB/f.u.

Cell and atoms, written as POSCAR:
```
Mn2V5Ru2Rh
1.0
-0.9142 -2.3973 1.4605
8.7141 -3.9064 -0.9577
2.7102 4.0142 8.2857
Rh V Mn Ru
2 10 4 4
direct
0.0000 0.5000 0.5000
0.0000 0.0000 0.0000
0.5000 0.2939 0.5572
0.5000 0.0000 0.5000
0.5000 0.4428 0.2939
0.5000 0.7939 0.9428
0.5000 0.5572 0.7061
0.5000 0.7061 0.4428
0.5000 0.0572 0.7939
0.5000 0.5000 0.0000
0.5000 0.2061 0.0572
0.5000 0.9428 0.2061
0.0000 0.8676 0.3676
0.0000 0.1324 0.6324
0.0000 0.3676 0.1324
0.0000 0.6324 0.8676
0.0000 0.8325 0.6675
0.0000 0.3325 0.8325
0.0000 0.6675 0.1675
0.0000 0.1675 0.3325
```


17.
The following is a DFT calculation (PBE) of a geometry-optimized Pm2ScHg structure.

Output
calculated total energy	-4.222	eV/atom
formation enthalpy at 0 K	-188	meV/atom
polymorph energy (0 for the lowest one)	0.000	eV per atom
total moment	0.5	μB/f.u.

Cell and atoms, written as POSCAR:
```
Pm2ScHg
1.0
3.6930 0.0000 0.0000
0.0000 3.6930 0.0000
0.0000 0.0000 8.4265
Sc Pm Hg
1 2 1
direct
0.5000 0.5000 0.5000
0.0000 0.0000 0.7613
0.0000 0.0000 0.2387
0.5000 0.5000 0.0000
```


18.
The following is a DFT calculation (PBE) of a geometry-optimized NpZnCdPt structure.

Output
calculated total energy	-5.451	eV/atom
formation enthalpy at 0 K	-159	meV/atom
total moment	4.2	μB/f.u.

Cell and atoms, written as POSCAR:
```
NpZnCdPt
1.0
-3.0738 -0.2827 3.7344
-3.4526 -3.3987 0.0437
0.2920 -3.7100 3.1023
Zn Cd Np Pt
1 1 1 1
direct
0.2500 0.2500 0.2500
0.0000 0.0000 0.0000
0.5000 0.5000 0.5000
0.7500 0.7500 0.7500
```


19.
The following is a DFT calculation (PBE) of a geometry-optimized NdGeBr2 structure.

Output
calculated total energy	-3.487	eV/atom
total moment	0.0	μB/f.u.

Cell and atoms, written as POSCAR:
```
NdGeBr2
1.0
3.7216 0.0000 0.0000
1.8608 3.2230 0.0000
1.8608 1.0743 10.3378
Br Ge Nd
2 1 1
direct
0.9086 0.9086 0.2742
0.0914 0.0914 0.7258
0.5000 0.5000 0.5000
0.0000 0.0000 0.0000
```